SrTlPt4 | PBEsol | relaxed

Output
E = -5.931 eV per atom
DOS(E_F) = 0.31 states/eV per atom
Mass density = 15.9 g cm⁻³

a = 7.655 Å, b = 7.655 Å, c = 7.655 Å
α = 90.00°, β = 90.00°, γ = 90.00°
Space group F-43m (No. 216)
One atom of each set of equivalent atoms:
Sr  0.000  0.000  0.000
Tl  0.250  0.250  0.250
Pt  0.124  0.124  0.624